Record 1
Entry from Alexandria via LeMat-Bulk: USe2O7 after structural relaxation (GGA-PBE).

Lattice parameters (Å, degrees): 6.804 9.583 12.161 109.71 92.17 93.27
Space group P-1 (No. 2)
Symmetry-distinct sites (fractional):
U 0.085 0.446 0.258 (multiplicity 2)
U 0.373 0.841 0.257 (multiplicity 2)
Se 0.016 0.130 0.374 (multiplicity 2)
Se 0.148 0.258 0.848 (multiplicity 2)
Se 0.420 0.545 0.847 (multiplicity 2)
Se 0.465 0.257 0.376 (multiplicity 2)
O 0.044 0.341 0.103 (multiplicity 2)
O 0.049 0.678 0.210 (multiplicity 2)
O 0.058 0.752 0.693 (multiplicity 2)
O 0.104 0.989 0.262 (multiplicity 2)
O 0.134 0.556 0.410 (multiplicity 2)
O 0.248 0.226 0.453 (multiplicity 2)
O 0.252 0.516 0.734 (multiplicity 2)
O 0.287 0.189 0.731 (multiplicity 2)
O 0.295 0.435 0.926 (multiplicity 2)
O 0.347 0.865 0.409 (multiplicity 2)
O 0.355 0.305 0.266 (multiplicity 2)
O 0.393 0.810 0.103 (multiplicity 2)
O 0.399 0.571 0.216 (multiplicity 2)
O 0.474 0.918 0.694 (multiplicity 2)

Results
Energy relative to the elements, uncorrected: -1.672 eV/atom
D(E_F): 0.00 states/eV per cell
Size of the total moment: 0.000 μB per cell

---

Record 2
Entry from Alexandria via LeMat-Bulk: BaReMo2 after structural relaxation (GGA-PBE).

Lattice parameters (Å, degrees): 6.699 6.699 6.699 90.00 90.00 90.00
Space group Fm-3m (No. 225)
Symmetry-distinct sites (fractional):
Ba 0.000 0.000 0.000 (multiplicity 4)
Re 0.000 0.000 0.500 (multiplicity 4)
Mo 0.250 0.250 0.250 (multiplicity 8)

Results
Energy above the most stable polymorph in this dataset: 46.9 kJ per mole of atoms
D(E_F): 19.74 states/eV per cell
Energy relative to the elements: 1.232 eV per atom
Size of the total moment: 0.000 μB per cell

---

Record 3
Entry from Alexandria via LeMat-Bulk: TlGaAgS2 after structural relaxation (GGA-PBE).

Lattice parameters (Å, degrees): 6.216 12.749 6.762 90.00 90.00 90.00
Space group Cmme (No. 67)
Symmetry-distinct sites (fractional):
Tl 0.000 0.250 0.075 (multiplicity 4)
Ga 0.250 0.000 0.500 (multiplicity 4)
Ag 0.000 0.000 0.000 (multiplicity 4)
S 0.000 0.095 0.686 (multiplicity 8)

Results
Energy relative to the elements, uncorrected: -0.272 eV/atom
D(E_F): 6.17 states/eV per cell
Size of the total moment: 0.000 μB per cell

---

Record 4
Entry from Alexandria via LeMat-Bulk: Pr3IrI3 after structural relaxation (GGA-PBE).

Lattice parameters (Å, degrees): 12.615 12.615 12.615 90.00 90.00 90.00
Space group I4_132 (No. 214)
Symmetry-distinct sites (fractional):
Pr 0.103 0.353 0.125 (multiplicity 24)
Ir 0.125 0.125 0.125 (multiplicity 8)
I 0.116 0.134 0.625 (multiplicity 24)

Results
Energy relative to the elements, uncorrected: -1.145 eV/atom
Energy above the most stable polymorph in this dataset: 0.0 kJ per mole of atoms
D(E_F): 28.66 states/eV per cell
Size of the total moment: 0.000 μB per cell

---

Record 5
Entry from Alexandria via LeMat-Bulk: K2TeBr after structural relaxation (GGA-PBE).

Lattice parameters (Å, degrees): 4.4180 4.4180 27.5733 90.00 90.00 120.00
Space group R-3m (No. 166, hexagonal axes)
Symmetry-distinct sites (fractional):
K 0.0000 0.0000 0.2413 (multiplicity 6)
Te 0.0000 0.0000 0.0000 (multiplicity 3)
Br 0.0000 0.0000 0.5000 (multiplicity 3)

Results
Energy relative to the elements, uncorrected: -1.114 eV/atom
Energy above the most stable polymorph in this dataset: 6.3 kJ per mole of atoms
D(E_F): 6.70 states/eV per cell
Size of the total moment: 0.873 μB per cell

---

Record 6
Entry from Alexandria via LeMat-Bulk: SrZn2Mo after structural relaxation (GGA-PBE).

Lattice parameters (Å, degrees): 4.258 4.270 8.492 90.00 90.00 90.00
Space group Cmmm (No. 65)
Symmetry-distinct sites (fractional):
Sr 0.000 0.000 0.000 (multiplicity 2)
Zn 0.000 0.500 0.290 (multiplicity 4)
Mo 0.000 0.000 0.500 (multiplicity 2)

Results
Energy above the most stable polymorph in this dataset: 5.7 kJ per mole of atoms
D(E_F): 6.57 states/eV per cell
Energy relative to the elements: 0.343 eV per atom
Size of the total moment: 0.001 μB per cell

---

> Which of these has the lowest D(E_F)?

USe2O7

---

> Which of these has the lowest D(E_F)?

USe2O7

---

What did the third record say?
Entry from Alexandria via LeMat-Bulk: TlGaAgS2 after structural relaxation (GGA-PBE).

Lattice parameters (Å, degrees): 6.216 12.749 6.762 90.00 90.00 90.00
Space group Cmme (No. 67)
Symmetry-distinct sites (fractional):
Tl 0.000 0.250 0.075 (multiplicity 4)
Ga 0.250 0.000 0.500 (multiplicity 4)
Ag 0.000 0.000 0.000 (multiplicity 4)
S 0.000 0.095 0.686 (multiplicity 8)

Results
Energy relative to the elements, uncorrected: -0.272 eV/atom
D(E_F): 6.17 states/eV per cell
Size of the total moment: 0.000 μB per cell

---

> The highest size of the total moment belongs to which entry?

K2TeBr